Record 1
The following is a DFT calculation (SCAN) of a PBEsol-optimized structure of Li2CaYCr.

abc: 4.887 4.887 5.728
angles: 90.00 90.00 90.00
Each line ends with the local moment (μB).
Sites, in units of the cell vectors:
Y (0.000, 0.000, 0.500)  -0.50
Cr (0.500, 0.500, 0.500)  4.16
Ca (0.000, 0.000, 0.000)  -0.28
Li (0.000, 0.500, 0.000)  -0.03
Li (0.500, 0.000, 0.000)  -0.03

## Properties
The calculation puts the energy of formation from the pure elements at 1150 meV per atom. Its total energy is -54.9 eV/cell.

***

Record 2
The following is a DFT calculation (SCAN) of a PBEsol-optimized structure of Nb3H12C4NCl9.

abc: 8.637 10.917 10.917
angles: 120.00 90.00 90.00
Sites, in units of the cell vectors:
Nb (0.143, 0.092, 0.185)
Nb (0.857, 0.908, 0.092)
Nb (0.143, 0.815, 0.908)
Nb (0.143, 0.092, 0.908)
Nb (0.857, 0.185, 0.092)
Nb (0.857, 0.908, 0.815)
H (0.522, 0.407, 0.593)
H (0.478, 0.593, 0.407)
H (0.079, 0.557, 0.278)
H (0.921, 0.278, 0.557)
H (0.079, 0.722, 0.443)
H (0.308, 0.483, 0.131)
H (0.478, 0.814, 0.407)
H (0.079, 0.722, 0.278)
H (0.692, 0.131, 0.483)
H (0.692, 0.517, 0.869)
H (0.692, 0.517, 0.648)
H (0.692, 0.352, 0.869)
H (0.921, 0.278, 0.722)
H (0.522, 0.407, 0.814)
H (0.308, 0.869, 0.517)
H (0.692, 0.131, 0.648)
H (0.308, 0.648, 0.131)
H (0.308, 0.483, 0.352)
H (0.921, 0.443, 0.722)
H (0.522, 0.186, 0.593)
H (0.692, 0.352, 0.483)
H (0.478, 0.593, 0.186)
H (0.308, 0.648, 0.517)
H (0.308, 0.869, 0.352)
C (0.649, 0.185, 0.592)
C (0.880, 0.333, 0.667)
C (0.649, 0.408, 0.815)
C (0.649, 0.408, 0.592)
C (0.351, 0.592, 0.185)
C (0.120, 0.667, 0.333)
C (0.351, 0.815, 0.408)
C (0.351, 0.592, 0.408)
N (0.707, 0.333, 0.667)
N (0.293, 0.667, 0.333)
Cl (0.677, 0.792, 0.896)
Cl (0.000, 0.000, 0.686)
Cl (0.323, 0.896, 0.792)
Cl (0.306, 0.200, 0.399)
Cl (0.677, 0.104, 0.208)
Cl (0.694, 0.800, 0.601)
Cl (0.000, 0.686, 0.686)
Cl (0.000, 0.686, 0.000)
Cl (0.306, 0.601, 0.800)
Cl (0.694, 0.800, 0.200)
Cl (0.306, 0.200, 0.800)
Cl (0.000, 0.314, 0.314)
Cl (0.694, 0.399, 0.200)
Cl (0.000, 0.000, 0.314)
Cl (0.323, 0.208, 0.104)
Cl (0.677, 0.104, 0.896)
Cl (0.323, 0.896, 0.104)
Cl (0.000, 0.314, 0.000)

## Properties
Its total energy is -565.8 eV/cell.

***

Record 3
The following is a DFT calculation (SCAN) of a PBEsol-optimized structure of Li2MnO3.

abc: 2.826 5.803 6.312
angles: 103.53 102.94 90.00
Each line ends with the local moment (μB).
Sites, in units of the cell vectors:
Li (0.500, 0.500, 0.000)  0.00
Li (0.500, 0.000, 0.000)  0.01
Li (0.156, 0.836, 0.313)  0.00
Li (0.844, 0.164, 0.687)  0.00
Mn (0.160, 0.325, 0.320)  2.65
Mn (0.840, 0.675, 0.680)  2.65
O (0.671, 0.115, 0.342)  0.05
O (0.329, 0.885, 0.658)  0.05
O (0.328, 0.439, 0.656)  0.03
O (0.672, 0.561, 0.344)  0.03
O (0.988, 0.744, 0.976)  0.17
O (0.012, 0.256, 0.024)  0.17

## Properties
Its total energy is -110.8 eV/cell. Its formation energy (no corrections) is -2282 meV per atom.

***

Record 4
The following is a DFT calculation (SCAN) of a PBEsol-optimized structure of NaIr2C2.

abc: 3.142 7.595 7.595
angles: 90.00 90.00 90.00
Sites, in units of the cell vectors:
Na (0.000, 0.000, 0.000)
Na (0.000, 0.500, 0.500)
C (0.500, 0.296, 0.796)
C (0.500, 0.796, 0.704)
C (0.500, 0.704, 0.204)
C (0.500, 0.204, 0.296)
Ir (0.000, 0.384, 0.884)
Ir (0.000, 0.884, 0.616)
Ir (0.000, 0.616, 0.116)
Ir (0.000, 0.116, 0.384)

## Properties
The calculation puts the energy of formation from the pure elements at 975 meV per atom. Its total energy is -323.5 eV/cell.

***

Record 5
The following is a DFT calculation (SCAN) of a PBEsol-optimized structure of BaCaSe2.

abc: 4.400 4.400 7.646
angles: 73.28 73.28 60.00
Sites, in units of the cell vectors:
Ca (0.500, 0.500, 0.500)
Ba (0.000, 0.000, 0.000)
Se (0.759, 0.759, 0.723)
Se (0.241, 0.241, 0.277)

## Properties
Its offset from the most stable computed form is 0.0000 eV per atom. Its total energy is -98.4 eV/cell. Its formation energy (no corrections) is -2254 meV per atom.

***

Record 6
The following is a DFT calculation (SCAN) of a PBEsol-optimized structure of YZn2Tc.

abc: 3.992 3.992 5.115
angles: 112.97 112.97 90.00
Each line ends with the local moment (μB).
Sites, in units of the cell vectors:
Tc (0.500, 0.500, 0.000)  0.91
Y (0.250, 0.750, 0.500)  0.08
Zn (0.000, 0.000, 0.000)  -0.01
Zn (0.750, 0.250, 0.500)  -0.01

## Properties
The calculation puts the energy of formation from the pure elements at 43 meV per atom. Its offset from the most stable computed form is 0.1783 eV per atom. Its total energy is -89.8 eV/cell.

***

Record 7
The following is a DFT calculation (SCAN) of a PBEsol-optimized structure of BaZr3Re.

abc: 5.178 5.178 5.178
angles: 90.00 90.00 90.00
Sites, in units of the cell vectors:
Re (0.000, 0.000, 0.000)
Ba (0.500, 0.500, 0.500)
Zr (0.000, 0.500, 0.000)
Zr (0.000, 0.000, 0.500)
Zr (0.500, 0.000, 0.000)

## Properties
The calculation puts the energy of formation from the pure elements at 334 meV per atom. Its offset from the most stable computed form is 0.0000 eV per atom. Its total energy is -201.1 eV/cell.

***

Record 8
The following is a DFT calculation (SCAN) of a PBEsol-optimized structure of Ca2Si2Hg.

abc: 4.422 7.074 7.074
angles: 90.00 90.00 90.00
Sites, in units of the cell vectors:
Ca (0.500, 0.176, 0.676)
Ca (0.500, 0.676, 0.824)
Ca (0.500, 0.824, 0.324)
Ca (0.500, 0.324, 0.176)
Si (0.000, 0.382, 0.882)
Si (0.000, 0.882, 0.618)
Si (0.000, 0.618, 0.118)
Si (0.000, 0.118, 0.382)
Hg (0.000, 0.000, 0.000)
Hg (0.000, 0.500, 0.500)

## Properties
Its offset from the most stable computed form is 0.0000 eV per atom. Its total energy is -219.2 eV/cell. Its formation energy (no corrections) is -416 meV per atom.

***

Record 9
The following is a DFT calculation (SCAN) of a PBEsol-optimized structure of La2AgIr.

abc: 5.124 5.122 5.122
angles: 59.94 59.99 59.99
Sites, in units of the cell vectors:
Ir (0.000, 0.500, 0.500)
Ag (0.500, 0.000, 0.000)
La (0.250, 0.750, 0.750)
La (0.750, 0.250, 0.250)

## Properties
The calculation puts the energy of formation from the pure elements at -557 meV per atom. Its offset from the most stable computed form is 0.0651 eV per atom. Its total energy is -190.9 eV/cell.

***

Record 10
The following is a DFT calculation (SCAN) of a PBEsol-optimized structure of Y2InTe.

abc: 3.609 5.390 5.390
angles: 90.00 90.00 90.00
Each line ends with the local moment (μB).
Sites, in units of the cell vectors:
In (0.500, 0.500, 0.500)  0.01
Te (0.500, 0.000, 0.000)  -0.02
Y (0.000, 0.000, 0.500)  0.23
Y (0.000, 0.500, 0.000)  0.23

## Properties
Its offset from the most stable computed form is 0.2259 eV per atom. Its total energy is -129.6 eV/cell. Its formation energy (no corrections) is -815 meV per atom.

***

Record 11
The following is a DFT calculation (SCAN) of a PBEsol-optimized structure of Co3SI.

abc: 4.640 4.640 4.640
angles: 90.00 90.00 90.00
Each line ends with the local moment (μB).
Sites, in units of the cell vectors:
I (0.000, 0.000, 0.000)  -0.01
S (0.500, 0.500, 0.500)  0.29
Co (0.000, 0.500, 0.000)  1.79
Co (0.000, 0.000, 0.500)  1.79
Co (0.500, 0.000, 0.000)  1.79

## Properties
Its total energy is -92.1 eV/cell. Its formation energy (no corrections) is 1244 meV per atom.

***

Record 12
The following is a DFT calculation (SCAN) of a PBEsol-optimized structure of Ta2CrPb.

abc: 3.236 4.732 4.732
angles: 106.69 90.00 90.00
Sites, in units of the cell vectors:
Cr (0.500, 0.000, 0.000)
Pb (0.500, 0.500, 0.500)
Ta (0.000, 0.500, 0.000)
Ta (0.000, 0.000, 0.500)

## Properties
The calculation puts the energy of formation from the pure elements at 481 meV per atom. Its total energy is -225.4 eV/cell.

***

Record 13
The following is a DFT calculation (SCAN) of a PBEsol-optimized structure of LaMn2ClO.

abc: 3.945 3.945 5.381
angles: 90.00 90.00 90.00
Each line ends with the local moment (μB).
Sites, in units of the cell vectors:
Cl (0.500, 0.500, 0.500)  0.04
Mn (0.000, 0.500, 0.000)  3.56
Mn (0.500, 0.000, 0.000)  3.56
O (0.000, 0.000, 0.000)  0.01
La (0.000, 0.000, 0.500)  -0.32

## Properties
Its total energy is -99.3 eV/cell. Its formation energy (no corrections) is -1096 meV per atom.

***

Record 14
The following is a DFT calculation (SCAN) of a PBEsol-optimized structure of TaSe2Br.

abc: 3.397 3.397 8.911
angles: 79.10 79.10 60.00
Sites, in units of the cell vectors:
Br (0.000, 0.000, 0.500)
Se (0.231, 0.231, 0.806)
Se (0.769, 0.769, 0.194)
Ta (0.500, 0.500, 0.000)

## Properties
Its offset from the most stable computed form is 0.1567 eV per atom. Its total energy is -128.2 eV/cell. Its formation energy (no corrections) is -512 meV per atom.

***

Record 15
The following is a DFT calculation (SCAN) of a PBEsol-optimized structure of In2CoNi.

abc: 2.964 4.412 5.016
angles: 105.67 107.18 90.00
Sites, in units of the cell vectors:
Co (0.763, 0.206, 0.525)
In (0.016, 0.064, 0.032)
In (0.236, 0.690, 0.473)
Ni (0.485, 0.540, 0.970)

## Properties
The calculation puts the energy of formation from the pure elements at 223 meV per atom. Its offset from the most stable computed form is 0.0000 eV per atom. Its total energy is -99.4 eV/cell.

***

Record 16
The following is a DFT calculation (SCAN) of a PBEsol-optimized structure of ZnRhC3.

abc: 3.805 3.805 3.805
angles: 90.00 90.00 90.00
Sites, in units of the cell vectors:
Zn (0.000, 0.000, 0.000)
Rh (0.500, 0.500, 0.500)
C (0.000, 0.500, 0.000)
C (0.000, 0.000, 0.500)
C (0.500, 0.000, 0.000)

## Properties
The calculation puts the energy of formation from the pure elements at 2973 meV per atom. Its total energy is -62.7 eV/cell.

***

Record 17
The following is a DFT calculation (SCAN) of a PBEsol-optimized structure of Y7Pt3.

abc: 6.195 9.752 9.752
angles: 120.00 90.00 90.00
Each line ends with the local moment (μB).
Sites, in units of the cell vectors:
Pt (0.748, 0.190, 0.810)  0.04
Pt (0.748, 0.620, 0.810)  0.04
Pt (0.748, 0.190, 0.380)  0.04
Pt (0.248, 0.810, 0.190)  0.04
Pt (0.248, 0.380, 0.190)  0.04
Pt (0.248, 0.810, 0.620)  0.04
Y (0.986, 0.539, 0.461)  0.24
Y (0.986, 0.922, 0.461)  0.24
Y (0.986, 0.539, 0.078)  0.24
Y (0.486, 0.461, 0.539)  0.24
Y (0.486, 0.078, 0.539)  0.24
Y (0.486, 0.461, 0.922)  0.24
Y (0.682, 0.874, 0.126)  0.13
Y (0.682, 0.253, 0.126)  0.13
Y (0.682, 0.874, 0.747)  0.13
Y (0.182, 0.126, 0.874)  0.13
Y (0.182, 0.747, 0.874)  0.13
Y (0.182, 0.126, 0.253)  0.13
Y (0.983, 0.333, 0.667)  0.33
Y (0.483, 0.667, 0.333)  0.33

## Properties
The calculation puts the energy of formation from the pure elements at -1021 meV per atom. Its total energy is -831.4 eV/cell.

***

Record 18
The following is a DFT calculation (SCAN) of a PBEsol-optimized structure of TaCdO2F.

abc: 3.973 3.973 4.241
angles: 90.00 90.00 90.00
Sites, in units of the cell vectors:
F (0.000, 0.000, 0.500)
Cd (0.500, 0.500, 0.500)
O (0.000, 0.500, 0.000)
O (0.500, 0.000, 0.000)
Ta (0.000, 0.000, 0.000)

## Properties
Its total energy is -122.9 eV/cell. Its formation energy (no corrections) is -1981 meV per atom.

***

Record 19
The following is a DFT calculation (SCAN) of a PBEsol-optimized structure of PmRh2Pb.

abc: 4.750 4.750 4.750
angles: 60.00 60.00 60.00
Each line ends with the local moment (μB).
Sites, in units of the cell vectors:
Pb (0.500, 0.500, 0.500)  0.04
Rh (0.250, 0.250, 0.250)  0.39
Rh (0.750, 0.750, 0.750)  0.39
Pm (0.000, 0.000, 0.000)  -0.01

## Properties
The calculation puts the energy of formation from the pure elements at -521 meV per atom. Its total energy is -189.4 eV/cell.

***

Record 20
The following is a DFT calculation (SCAN) of a PBEsol-optimized structure of Y2CdRh.

abc: 3.753 4.513 5.698
angles: 90.00 109.23 90.00
Sites, in units of the cell vectors:
Cd (0.701, 0.000, 0.402)
Rh (0.539, 0.500, 0.079)
Y (0.984, 0.000, 0.968)
Y (0.273, 0.500, 0.545)

## Properties
The calculation puts the energy of formation from the pure elements at -612 meV per atom. Its total energy is -122.3 eV/cell.

***

Record 21
The following is a DFT calculation (SCAN) of a PBEsol-optimized structure of TaRh2Au.

abc: 3.243 3.243 5.860
angles: 90.00 90.00 90.00
Sites, in units of the cell vectors:
Rh (0.000, 0.000, 0.765)
Rh (0.000, 0.000, 0.235)
Au (0.500, 0.500, 0.500)
Ta (0.500, 0.500, 0.000)

## Properties
The calculation puts the energy of formation from the pure elements at -452 meV per atom. Its total energy is -205.1 eV/cell.

***

Record 22
The following is a DFT calculation (SCAN) of a PBEsol-optimized structure of NaHfGa2.

abc: 4.714 4.714 4.714
angles: 60.00 60.00 60.00
Sites, in units of the cell vectors:
Na (0.000, 0.000, 0.000)
Hf (0.500, 0.500, 0.500)
Ga (0.250, 0.250, 0.250)
Ga (0.750, 0.750, 0.750)

## Properties
The calculation puts the energy of formation from the pure elements at -63 meV per atom. Its total energy is -99.8 eV/cell.

***

Record 23
The following is a DFT calculation (SCAN) of a PBEsol-optimized structure of CaMg2S3O12.

abc: 7.348 8.398 8.398
angles: 120.00 90.00 90.00
Sites, in units of the cell vectors:
Ca (0.500, 0.000, 0.000)
Ca (0.000, 0.000, 0.000)
Mg (0.548, 0.667, 0.333)
Mg (0.452, 0.333, 0.667)
Mg (0.048, 0.333, 0.667)
Mg (0.952, 0.667, 0.333)
S (0.750, 0.330, 0.967)
S (0.250, 0.363, 0.330)
S (0.750, 0.033, 0.363)
S (0.250, 0.967, 0.637)
S (0.250, 0.670, 0.033)
S (0.750, 0.637, 0.670)
O (0.750, 0.520, 0.129)
O (0.250, 0.037, 0.839)
O (0.416, 0.858, 0.558)
O (0.750, 0.839, 0.802)
O (0.750, 0.871, 0.391)
O (0.750, 0.609, 0.480)
O (0.416, 0.700, 0.142)
O (0.916, 0.300, 0.858)
O (0.916, 0.558, 0.700)
O (0.250, 0.480, 0.871)
O (0.250, 0.802, 0.963)
O (0.750, 0.198, 0.037)
O (0.250, 0.161, 0.198)
O (0.584, 0.558, 0.700)
O (0.584, 0.300, 0.858)
O (0.250, 0.391, 0.520)
O (0.416, 0.442, 0.300)
O (0.084, 0.858, 0.558)
O (0.250, 0.129, 0.609)
O (0.084, 0.700, 0.142)
O (0.084, 0.442, 0.300)
O (0.750, 0.963, 0.161)
O (0.916, 0.142, 0.442)
O (0.584, 0.142, 0.442)

## Properties
Its total energy is -329.5 eV/cell. Its formation energy (no corrections) is -2303 meV per atom.